# 1
The following is a PBE calculation of an optimized crystal structure of Y4Sn3Hg, from the Alexandria database.

Summary:
**Size of the total moment**: 0.000 μB/f.u.
**Energy**: -5.465 eV per atom
**Energy of formation from the pure elements**: -67.0 kJ/mol of atoms
**Crystal system**: orthorhombic

a = 4.3496 Å, b = 4.4420 Å, c = 11.4595 Å
α = 90.00°, β = 90.00°, γ = 90.00°
Last column: nearest neighbours and their distance in Å.
Space group Pmm2 (No. 25)
Inequivalent atoms, fractional coordinates:
Y 0.0000 0.0000 0.0000 [1 per cell]  3 Sn 3.12-3.37, 4 Hg 3.15
Y 0.0000 0.5000 0.4985 [1 per cell]  7 Sn 3.15-3.44
Y 0.5000 0.0000 0.2722 [1 per cell]  5 Sn 3.09-3.16, 2 Hg 3.43
Y 0.5000 0.5000 0.7725 [1 per cell]  1 Hg 3.11, 6 Sn 3.15-3.45
Sn 0.0000 0.0000 0.7278 [1 per cell]  2 Sn 3.04, 5 Y 3.12-3.15
Sn 0.0000 0.5000 0.2215 [1 per cell]  2 Hg 2.98, 5 Y 3.16-3.18
Sn 0.5000 0.0000 0.5421 [1 per cell]  2 Sn 3.04, 5 Y 3.09-3.15
Hg 0.5000 0.5000 0.0438 [1 per cell]  2 Sn 2.98, 5 Y 3.11-3.15


# 2
The following is a PBE calculation of an optimized crystal structure of PrPaSnO6, from the Alexandria database.

Summary:
**Size of the total moment**: 0.000 μB/f.u.
**Energy**: -8.121 eV per atom
**Raw formation energy**: -2.784 eV/atom
**Crystal system**: trigonal

a = 5.6957 Å, b = 5.6957 Å, c = 9.5451 Å
α = 90.00°, β = 90.00°, γ = 120.00°
Last column: nearest neighbours and their distance in Å.
Space group P-31c (No. 163)
Inequivalent atoms, fractional coordinates:
Pr 0.3333 0.6667 0.2500 [2 per cell]  6 O 2.41
Pa 0.0000 0.0000 0.0000 [2 per cell]  6 O 2.21
Sn 0.3333 0.6667 0.7500 [2 per cell]  6 O 2.12
O 0.0413 0.3428 0.6273 [12 per cell]  1 Sn 2.12, 1 Pa 2.21


What did the second record say?
The following is a PBE calculation of an optimized crystal structure of PrPaSnO6, from the Alexandria database.

Summary:
**Size of the total moment**: 0.000 μB/f.u.
**Energy**: -8.121 eV per atom
**Raw formation energy**: -2.784 eV/atom
**Crystal system**: trigonal

a = 5.6957 Å, b = 5.6957 Å, c = 9.5451 Å
α = 90.00°, β = 90.00°, γ = 120.00°
Last column: nearest neighbours and their distance in Å.
Space group P-31c (No. 163)
Inequivalent atoms, fractional coordinates:
Pr 0.3333 0.6667 0.2500 [2 per cell]  6 O 2.41
Pa 0.0000 0.0000 0.0000 [2 per cell]  6 O 2.21
Sn 0.3333 0.6667 0.7500 [2 per cell]  6 O 2.12
O 0.0413 0.3428 0.6273 [12 per cell]  1 Sn 2.12, 1 Pa 2.21


Repeat the first record exactly.
The following is a PBE calculation of an optimized crystal structure of Y4Sn3Hg, from the Alexandria database.

Summary:
**Size of the total moment**: 0.000 μB/f.u.
**Energy**: -5.465 eV per atom
**Energy of formation from the pure elements**: -67.0 kJ/mol of atoms
**Crystal system**: orthorhombic

a = 4.3496 Å, b = 4.4420 Å, c = 11.4595 Å
α = 90.00°, β = 90.00°, γ = 90.00°
Last column: nearest neighbours and their distance in Å.
Space group Pmm2 (No. 25)
Inequivalent atoms, fractional coordinates:
Y 0.0000 0.0000 0.0000 [1 per cell]  3 Sn 3.12-3.37, 4 Hg 3.15
Y 0.0000 0.5000 0.4985 [1 per cell]  7 Sn 3.15-3.44
Y 0.5000 0.0000 0.2722 [1 per cell]  5 Sn 3.09-3.16, 2 Hg 3.43
Y 0.5000 0.5000 0.7725 [1 per cell]  1 Hg 3.11, 6 Sn 3.15-3.45
Sn 0.0000 0.0000 0.7278 [1 per cell]  2 Sn 3.04, 5 Y 3.12-3.15
Sn 0.0000 0.5000 0.2215 [1 per cell]  2 Hg 2.98, 5 Y 3.16-3.18
Sn 0.5000 0.0000 0.5421 [1 per cell]  2 Sn 3.04, 5 Y 3.09-3.15
Hg 0.5000 0.5000 0.0438 [1 per cell]  2 Sn 2.98, 5 Y 3.11-3.15